The following is a DFT calculation (PBE-GGA) of Al2Zn6Ag after structural relaxation.

Cell: 6.892 7.524 6.892 Å, 66.22 91.46 66.22°
Positions (direct):
1 Zn 0.990 0.302 0.233
2 Zn 0.643 0.634 0.907
3 Zn 0.907 0.134 0.643
4 Zn 0.233 0.802 0.990
5 Zn 0.093 0.866 0.357
6 Zn 0.570 0.472 0.322
7 Zn 0.678 0.028 0.430
8 Zn 0.357 0.366 0.093
9 Zn 0.767 0.198 0.010
10 Zn 0.430 0.528 0.678
11 Zn 0.322 0.972 0.570
12 Zn 0.010 0.698 0.767
13 Al 0.550 0.082 0.788
14 Al 0.450 0.918 0.212
15 Al 0.212 0.418 0.450
16 Al 0.788 0.582 0.550
17 Ag 0.133 0.250 0.867
18 Ag 0.867 0.750 0.133

Results
Formation enthalpy at 0 K: 0.042 eV/atom
Energy relative to the lowest polymorph listed for this composition: 0.0200 eV/atom
Space-group type: C2/c
E: -1.96 eV/atom